Here is Cr5GaO8 after structural relaxation from Alexandria via LeMat-Bulk. Energies are from PBE with a Hubbard U.

Cell: 6.0480 6.0480 6.0480 Å, 60.00 60.00 60.00°
Sites, in units of the cell vectors:
Cr 0.1179 0.6274 0.6274
Cr 0.0000 0.0000 0.0000
O 0.4180 0.8607 0.8607
Cr 0.6274 0.6274 0.6274
O 0.8607 0.8607 0.8607
O 0.8607 0.4180 0.8607
O 0.8607 0.8607 0.4180
O 0.3811 0.8566 0.3811
Cr 0.6274 0.6274 0.1179
O 0.3811 0.3811 0.3811
Cr 0.6274 0.1179 0.6274
O 0.8566 0.3811 0.3811
O 0.3811 0.3811 0.8566
Ga 0.2500 0.2500 0.2500

Values from the calculation:
Total energy = -7.55 eV/atom
Total magnetization = 1.214 μB per atom
DOS at the Fermi energy = 1.15 states/eV/f.u.
SG = F-43m